(1)
Here is an optimized crystal structure of Nd2Cu3Pd from Alexandria via LeMat-Bulk. Energies are from PBE-GGA.

POSCAR file:
```
Nd2Cu3Pd
1.0
0.000 4.324 7.530
3.781 0.000 7.530
3.781 4.324 0.000
Nd Cu Pd
4 6 2
Direct
0.249 0.751 0.751
0.250 0.250 0.250
0.750 0.750 0.750
0.751 0.249 0.249
0.175 0.663 0.337
0.337 0.337 0.663
0.337 0.825 0.175
0.663 0.175 0.825
0.663 0.663 0.337
0.825 0.337 0.663
0.167 0.167 0.833
0.833 0.833 0.167
```

Computed properties:
N(E_F) = 0.636 states/eV per atom
E above lowest polymorph = 0 meV per atom
E = -4.88 eV/atom
Calculated formation energy = -2.279 eV per formula unit

(2)
Here is an optimized crystal structure of BePH2O from Alexandria via LeMat-Bulk. Energies are from PBE-GGA.

POSCAR file:
```
BePH2O
1.0
2.923 0.000 0.000
0.000 2.923 0.000
0.000 0.000 4.731
Be P H O
1 1 2 1
Direct
0.000 0.000 0.000
0.000 0.000 0.500
0.000 0.500 0.000
0.500 0.000 0.000
0.500 0.500 0.500
```

Computed properties:
N(E_F) = 0.184 states/eV per atom
E = -4.06 eV/atom

(3)
Here is an optimized crystal structure of AsOs2Pb from Alexandria via LeMat-Bulk. Energies are from PBE-GGA.

POSCAR file:
```
AsOs2Pb
1.0
3.049 -4.380 0.000
3.049 4.380 0.000
-1.520 0.000 2.676
As Os Pb
1 2 1
Direct
0.000 0.000 0.000
0.000 0.500 0.500
0.500 0.000 0.500
0.500 0.500 0.000
```

Computed properties:
N(E_F) = 1.002 states/eV per atom
E above lowest polymorph = 731 meV per atom
E = -6.57 eV/atom
Calculated formation energy = 4.523 eV per formula unit

(4)
Here is an optimized crystal structure of P2PdSe6 from Alexandria via LeMat-Bulk. Energies are from PBE-GGA.

POSCAR file:
```
P2PdSe6
1.0
6.621 0.000 0.000
-3.310 5.734 0.000
0.000 0.000 7.400
P Pd Se
2 1 6
Direct
0.333 0.667 0.056
0.667 0.333 0.944
0.000 0.000 0.000
0.166 0.332 0.225
0.166 0.834 0.225
0.332 0.166 0.775
0.668 0.834 0.225
0.834 0.166 0.775
0.834 0.668 0.775
```

Computed properties:
N(E_F) = 0.735 states/eV per atom
E above lowest polymorph = 45 meV per atom
E = -4.05 eV/atom
Energy relative to the elements, uncorrected = 0.05 eV/atom

(5)
Here is an optimized crystal structure of Zr3CN from Alexandria via LeMat-Bulk. Energies are from PBE-GGA.

POSCAR file:
```
Zr3CN
1.0
3.233 0.000 0.000
0.000 5.692 0.000
0.000 0.000 8.278
Zr C N
6 2 2
Direct
0.250 0.004 0.166
0.250 0.250 0.511
0.250 0.496 0.166
0.750 0.504 0.834
0.750 0.750 0.489
0.750 0.996 0.834
0.250 0.750 0.689
0.750 0.250 0.311
0.250 0.250 0.941
0.750 0.750 0.059
```

Computed properties:
N(E_F) = 0.499 states/eV per atom
E above lowest polymorph = 246 meV per atom
E = -9.28 eV/atom
Energy relative to the elements, uncorrected = -0.64 eV/atom

(6)
Here is an optimized crystal structure of AcInAg2 from Alexandria via LeMat-Bulk. Energies are from PBE-GGA.

POSCAR file:
```
AcInAg2
1.0
9.546 0.000 0.000
0.000 7.277 0.000
0.000 0.000 6.042
Ac In Ag
4 4 8
Direct
0.070 0.250 0.160
0.430 0.750 0.660
0.570 0.250 0.340
0.930 0.750 0.840
0.105 0.750 0.341
0.395 0.250 0.841
0.605 0.750 0.159
0.895 0.250 0.659
0.173 0.050 0.635
0.173 0.450 0.635
0.327 0.550 0.135
0.327 0.950 0.135
0.673 0.050 0.865
0.673 0.450 0.865
0.827 0.550 0.365
0.827 0.950 0.365
```

Computed properties:
N(E_F) = 0.586 states/eV per atom
E = -3.43 eV/atom
Calculated formation energy = -1.174 eV per formula unit

(7)
Here is an optimized crystal structure of YSiO2F from Alexandria via LeMat-Bulk. Energies are from PBE-GGA.

POSCAR file:
```
YSiO2F
1.0
4.423 0.000 0.000
0.000 4.423 0.000
0.000 0.000 4.228
Y Si O F
1 1 2 1
Direct
0.000 0.000 0.000
0.500 0.500 0.500
0.000 0.500 0.000
0.500 0.000 0.000
0.000 0.000 0.500
```

Computed properties:
E = -6.48 eV/atom
Energy relative to the elements, uncorrected = -1.75 eV/atom

(8)
Here is an optimized crystal structure of Nb2CdTcPt from Alexandria via LeMat-Bulk. Energies are from PBE-GGA.

POSCAR file:
```
Nb2CdTcPt
1.0
4.893 0.000 0.000
0.000 4.893 0.000
0.000 0.000 4.804
Nb Cd Tc Pt
2 1 1 1
Direct
0.000 0.500 0.000
0.500 0.000 0.000
0.000 0.000 0.500
0.500 0.500 0.500
0.500 0.500 0.000
```

Computed properties:
N(E_F) = 1.172 states/eV per atom
E = -6.31 eV/atom
Calculated formation energy = 5.898 eV per formula unit

(9)
Here is an optimized crystal structure of Ca3NbCo from Alexandria via LeMat-Bulk. Energies are from PBE-GGA.

POSCAR file:
```
Ca3NbCo
1.0
5.311 0.000 0.000
0.000 5.311 0.000
0.000 0.000 5.311
Ca Nb Co
3 1 1
Direct
0.000 0.000 0.500
0.000 0.500 0.000
0.500 0.000 0.000
0.500 0.500 0.500
0.000 0.000 0.000
```

Computed properties:
N(E_F) = 1.138 states/eV per atom
E above lowest polymorph = 0 meV per atom
E = -3.79 eV/atom
Calculated formation energy = 4.208 eV per formula unit

(10)
Here is an optimized crystal structure of AsRuPb2O from Alexandria via LeMat-Bulk. Energies are from PBE-GGA.

POSCAR file:
```
AsRuPb2O
1.0
4.980 0.000 0.000
0.000 4.980 0.000
0.000 0.000 4.075
As Ru Pb O
1 1 2 1
Direct
0.000 0.000 0.000
0.500 0.500 0.000
0.000 0.500 0.500
0.500 0.000 0.500
0.000 0.000 0.500
```

Computed properties:
N(E_F) = 0.822 states/eV per atom
E = -4.95 eV/atom
Energy relative to the elements, uncorrected = 0.31 eV/atom

(11)
Here is an optimized crystal structure of LaPrPtCl from Alexandria via LeMat-Bulk. Energies are from PBE-GGA.

POSCAR file:
```
LaPrPtCl
1.0
2.095 1.209 7.749
-2.095 1.209 7.749
0.000 -2.419 7.749
La Pr Pt Cl
1 1 1 1
Direct
0.000 0.000 0.000
0.806 0.806 0.806
0.403 0.403 0.403
0.233 0.233 0.233
```

Computed properties:
N(E_F) = 0.962 states/eV per atom
E = -5.76 eV/atom
Energy relative to the elements, uncorrected = -1.36 eV/atom

(12)
Here is an optimized crystal structure of Pu2PaReC4 from Alexandria via LeMat-Bulk. Energies are from PBE-GGA.

POSCAR file:
```
Pu2PaReC4
1.0
1.701 -5.865 0.000
1.701 5.865 0.000
0.000 0.000 12.105
Pu Pa Re C
4 2 2 8
Direct
0.134 0.866 0.541
0.134 0.866 0.959
0.866 0.134 0.041
0.866 0.134 0.459
0.390 0.610 0.750
0.610 0.390 0.250
0.349 0.651 0.250
0.651 0.349 0.750
0.047 0.953 0.750
0.232 0.768 0.132
0.232 0.768 0.368
0.500 0.500 0.000
0.500 0.500 0.500
0.768 0.232 0.632
0.768 0.232 0.868
0.953 0.047 0.250
```

Computed properties:
N(E_F) = 1.765 states/eV per atom
E = -10.88 eV/atom
Calculated formation energy = 0.450 eV per formula unit